Record 1
Compound: BiPdAuO5
Source: Alexandria
Functional: PBE
Structure: relaxed

The space group is C2/c (No. 15) and the conventional cell measures 6.177, 9.872 and 7.701 Å, with angles of 90.00, 112.81 and 90.00 degrees. The asymmetric unit holds Bi at (0.000, 0.195, 0.250), Pd at (0.000, 0.500, 0.000), Au at (0.000, 0.163, 0.750), O at (0.000, 0.427, 0.250), O at (0.049, 0.297, 0.558) and O at (0.150, 0.015, 0.941).

The uncorrected formation energy is -0.3599 eV per atom. As for the crystal system: monoclinic. Its density of states at the Fermi level is 0.157 states/eV per atom.


Record 2
Compound: BiPdAu2O8
Source: Alexandria
Functional: PBE
Structure: relaxed

The space group is I-4m2 (No. 119) and the conventional cell measures 6.730, 6.730 and 7.270 Å, with angles of 90.00, 90.00 and 90.00 degrees. The asymmetric unit holds Bi at (0.000, 0.000, 0.000), Pd at (0.000, 0.500, 0.250), Au at (0.000, 0.000, 0.500), Au at (0.000, 0.500, 0.750), O at (0.000, 0.190, 0.274) and O at (0.000, 0.326, 0.969).

The uncorrected formation energy is 0.1496 eV per atom. As for the crystal system: tetragonal. Its density of states at the Fermi level is 0.841 states/eV per atom.


Record 3
Compound: BiPdAuO4
Source: Alexandria
Functional: PBE
Structure: relaxed

The space group is Imma (No. 74) and the conventional cell measures 5.814, 6.830 and 10.888 Å, with angles of 90.00, 90.00 and 90.00 degrees. The asymmetric unit holds Bi at (0.000, 0.000, 0.000), Pd at (0.250, 0.250, 0.250), Au at (0.000, 0.250, 0.678), O at (0.000, 0.051, 0.207) and O at (0.246, 0.250, 0.973).

The uncorrected formation energy is -0.3634 eV per atom. As for the crystal system: orthorhombic. Its density of states at the Fermi level is 0.489 states/eV per atom.


Record 4
Compound: Pr4Bi3Au2O2
Source: Alexandria
Functional: PBE
Structure: relaxed

The space group is P-3m1 (No. 164) and the conventional cell measures 4.5017, 4.5017 and 16.8513 Å, with angles of 90.00, 90.00 and 120.00 degrees. The asymmetric unit holds Pr at (0.3333, 0.6667, 0.3846), Pr at (0.3333, 0.6667, 0.9177), Bi at (0.0000, 0.0000, 0.2242), Bi at (0.0000, 0.0000, 0.5000), Au at (0.3333, 0.6667, 0.7151) and O at (0.3333, 0.6667, 0.0525).

The uncorrected formation energy is -1.3795 eV per atom. As for the crystal system: trigonal. Its density of states at the Fermi level is 0.381 states/eV per atom.